A relaxed ZnCdPd6 crystal, computed with PBE-GGA.

Cell lengths 8.8157, 4.0102, 7.9648 Å; angles 90.00, 116.91, 90.00 degrees
With the nearest neighbours (Å) after each atom.
Space group C2/m (No. 12)
Asymmetric unit:
Zn1 0.0000 0.0000 0.0000  12 Pd 2.75-2.81
Cd1 0.0000 0.0000 0.5000  12 Pd 2.82-2.87
Pd1 0.0026 0.5000 0.2428  8 Pd 2.73-2.88, 2 Zn 2.78, 2 Cd 2.87
Pd2 0.2476 0.0000 0.3673  1 Zn 2.75, 8 Pd 2.78-2.90, 3 Cd 2.82
Pd3 0.2498 0.0000 0.8804  8 Pd 2.73-2.82, 3 Zn 2.77-2.81, 1 Cd 2.83

Summary:
As for the relative energy among the computed polymorphs: 0.00 kJ per mole of atoms. As for the calculated formation energy: -6.6 kcal/mol of atoms. The energy comes out at -35.64 eV/f.u.

A relaxed ZnCdPd2 crystal, computed with PBE-GGA.

Cell lengths 5.1364, 2.9875, 8.6932 Å; angles 90.00, 101.10, 90.00 degrees
With the nearest neighbours (Å) after each atom.
Space group Cm (No. 8)
Asymmetric unit:
Zn1 0.0000 0.0000 0.0000  6 Pd 2.62
Cd1 0.3346 0.5000 0.5000  6 Pd 2.86-2.87, 6 Cd 2.97-2.99
Pd1 0.0887 0.5000 0.7684  3 Zn 2.62, 3 Cd 2.86
Pd2 0.4108 0.0000 0.2315  3 Zn 2.62, 3 Cd 2.86-2.87

Summary:
As for the calculated formation energy: -8.0 kcal/mol of atoms. The energy comes out at -13.96 eV/f.u.

A relaxed ZnCd4Pd crystal, computed with PBE-GGA.

Cell lengths 6.2853, 15.7689, 5.6048 Å; angles 90.00, 119.41, 90.00 degrees
With the nearest neighbours (Å) after each atom.
Space group C2/c (No. 15)
Asymmetric unit:
Zn1 0.0000 0.1246 0.2500  8 Cd 2.87-2.93, 2 Pd 3.14
Cd1 0.2464 0.4685 0.2458  2 Pd 2.84-2.93, 2 Zn 2.87-2.93, 6 Cd 2.95-3.16
Cd2 0.2484 0.2813 0.2482  2 Pd 2.85-2.92, 2 Zn 2.87-2.93, 7 Cd 2.95-3.17
Pd1 0.0000 0.3745 0.7500  8 Cd 2.84-2.93, 2 Zn 3.14

Summary:
As for the calculated formation energy: -1.8 kcal/mol of atoms. The energy comes out at -10.60 eV/f.u.

A relaxed ZnCd6Pd crystal, computed with PBE-GGA.

Cell lengths 6.2390, 11.1914, 5.8052 Å; angles 90.00, 118.70, 90.00 degrees
With the nearest neighbours (Å) after each atom.
Space group C2/m (No. 12)
Asymmetric unit:
Zn1 0.0000 0.0000 0.0000  6 Cd 2.75-2.81, 2 Pd 2.90
Cd1 0.0028 0.5000 0.2514  1 Pd 2.72, 1 Zn 2.75, 2 Cd 2.90
Cd2 0.0056 0.2152 0.7521  1 Pd 2.81, 1 Zn 2.81, 3 Cd 2.89-3.12
Pd1 0.0000 0.0000 0.5000  6 Cd 2.72-2.81, 2 Zn 2.90

Summary:
As for the relative energy among the computed polymorphs: 7.34 kJ per mole of atoms. As for the calculated formation energy: 0.2 kcal/mol of atoms. The energy comes out at -11.89 eV/f.u.

A relaxed Zn6CdPd2 crystal, computed with PBE-GGA.

Cell lengths 9.7690, 3.1398, 9.5142 Å; angles 90.00, 108.58, 90.00 degrees
With the nearest neighbours (Å) after each atom.
Space group C2/m (No. 12)
Asymmetric unit:
Zn1 0.0108 0.0000 0.1759  3 Pd 2.65-2.93, 6 Zn 2.66-2.70
Zn2 0.1561 0.5000 0.0409  3 Pd 2.65-2.82, 7 Zn 2.69-2.90
Zn3 0.1868 0.5000 0.3811  2 Pd 2.64, 4 Zn 2.66-2.71, 3 Cd 2.90
Cd1 0.0000 0.0000 0.5000  8 Zn 2.90-3.12, 4 Pd 2.92, 2 Cd 3.14
Pd1 0.1748 0.5000 0.7517  8 Zn 2.64-2.93, 2 Cd 2.92

Summary:
As for the calculated formation energy: -5.9 kcal/mol of atoms. The energy comes out at -21.25 eV/f.u.

A relaxed Zn5CdPd4 crystal, computed with PBE-GGA.

Cell lengths 3.1183, 3.1183, 15.6590 Å; angles 90.00, 90.00, 90.00 degrees
With the nearest neighbours (Å) after each atom.
Space group P4/mmm (No. 123)
Asymmetric unit:
Zn1 0.0000 0.0000 0.0000  8 Pd 2.66
Zn2 0.0000 0.0000 0.1903  8 Pd 2.66-2.67, 2 Zn 2.96-2.98
Zn3 0.0000 0.0000 0.3795  4 Pd 2.64, 4 Cd 2.90
Cd1 0.5000 0.5000 0.5000  8 Zn 2.90, 4 Cd 3.12
Pd1 0.5000 0.5000 0.0949  8 Zn 2.66, 1 Pd 2.97
Pd2 0.5000 0.5000 0.2866  8 Zn 2.64-2.67

Summary:
As for the calculated formation energy: -9.9 kcal/mol of atoms. The energy comes out at -32.35 eV/f.u.

Repeat the fourth record exactly.
A relaxed ZnCd6Pd crystal, computed with PBE-GGA.

Cell lengths 6.2390, 11.1914, 5.8052 Å; angles 90.00, 118.70, 90.00 degrees
With the nearest neighbours (Å) after each atom.
Space group C2/m (No. 12)
Asymmetric unit:
Zn1 0.0000 0.0000 0.0000  6 Cd 2.75-2.81, 2 Pd 2.90
Cd1 0.0028 0.5000 0.2514  1 Pd 2.72, 1 Zn 2.75, 2 Cd 2.90
Cd2 0.0056 0.2152 0.7521  1 Pd 2.81, 1 Zn 2.81, 3 Cd 2.89-3.12
Pd1 0.0000 0.0000 0.5000  6 Cd 2.72-2.81, 2 Zn 2.90

Summary:
As for the relative energy among the computed polymorphs: 7.34 kJ per mole of atoms. As for the calculated formation energy: 0.2 kcal/mol of atoms. The energy comes out at -11.89 eV/f.u.